DFT (PBE-GGA) results for an optimized crystal structure of Tb3Pm6NdTh2.

Cell lengths 6.268, 6.268, 12.014 Å; angles 95.00, 95.00, 119.92 degrees
Fractional positions:
1 Pm 0.917 0.578 0.752
2 Pm 0.255 0.255 0.751
3 Pm 0.083 0.422 0.248
4 Pm 0.578 0.917 0.752
5 Pm 0.422 0.083 0.248
6 Pm 0.745 0.745 0.249
7 Th 0.333 0.667 0.000
8 Th 0.667 0.333 0.000
9 Tb 0.167 0.833 0.500
10 Tb 0.500 0.500 0.500
11 Tb 0.833 0.167 0.500
12 Nd 0.000 0.000 0.000

Calculated values
As for the crystal system: monoclinic. Its total energy is -5.1280 eV/atom. Its symmetry is C2/m, No. 12.

DFT (PBE-GGA) results for an optimized crystal structure of LaInBr2.

Cell lengths 6.701, 6.701, 6.701 Å; angles 146.39, 125.41, 65.66 degrees
Fractional positions:
1 In 0.250 0.750 0.500
2 Br 0.547 0.547 0.000
3 Br 0.953 0.953 0.000
4 La 0.750 0.250 0.500

Calculated values
As for the crystal system: orthorhombic. The energy above the lowest structure with this stoichiometry is 40 meV per atom. Its symmetry is Immm, No. 71.

DFT (PBE-GGA) results for an optimized crystal structure of Th6Ge3SbSe2.

Cell lengths 4.318, 8.642, 9.651 Å; angles 102.89, 102.93, 90.00 degrees
Fractional positions:
1 Th 0.327 0.922 0.655
2 Th 0.673 0.078 0.345
3 Th 0.336 0.411 0.673
4 Th 0.664 0.589 0.327
5 Th 0.001 0.735 0.002
6 Th 0.999 0.265 0.998
7 Ge 0.165 0.831 0.330
8 Ge 0.835 0.169 0.670
9 Ge 0.500 0.500 0.000
10 Se 0.832 0.666 0.664
11 Se 0.168 0.334 0.336
12 Sb 0.500 0.000 0.000

Calculated values
As for the crystal system: monoclinic. Its total energy is -6.8868 eV/atom. Its symmetry is C2/m, No. 12.

DFT (PBE-GGA) results for an optimized crystal structure of PmEr7Tm12.

Cell lengths 8.568, 8.568, 8.568 Å; angles 95.14, 95.14, 95.14 degrees
Fractional positions:
1 Tm 0.527 0.855 0.589
2 Tm 0.473 0.145 0.411
3 Tm 0.589 0.527 0.855
4 Tm 0.807 0.250 0.676
5 Tm 0.411 0.473 0.145
6 Tm 0.193 0.750 0.324
7 Tm 0.750 0.324 0.193
8 Tm 0.676 0.807 0.250
9 Tm 0.250 0.676 0.807
10 Tm 0.324 0.193 0.750
11 Tm 0.145 0.411 0.473
12 Tm 0.855 0.589 0.527
13 Er 0.922 0.651 0.991
14 Er 0.651 0.991 0.922
15 Er 0.991 0.922 0.651
16 Er 0.500 0.500 0.500
17 Er 0.349 0.009 0.078
18 Er 0.078 0.349 0.009
19 Er 0.009 0.078 0.349
20 Pm 0.000 0.000 0.000

Calculated values
As for the crystal system: trigonal. The energy above the lowest structure with this stoichiometry is 0 meV per atom. Its symmetry is R-3, No. 148.

DFT (PBE-GGA) results for an optimized crystal structure of RbSrHf3.

Cell lengths 5.311, 5.311, 5.311 Å; angles 90.00, 90.00, 90.00 degrees
Last column: magnetic moment on the atom in μB.
Fractional positions:
1 Sr 0.500 0.500 0.500  0.03
2 Hf 0.500 0.000 0.000  0.41
3 Hf 0.000 0.500 0.000  0.49
4 Hf 0.000 0.000 0.500  0.53
5 Rb 0.000 0.000 0.000  0.14

Calculated values
As for the crystal system: cubic. The energy above the lowest structure with this stoichiometry is 0 meV per atom. Its symmetry is Pm-3m, No. 221.

DFT (PBE-GGA) results for an optimized crystal structure of ZnSi2Br.

Cell lengths 3.850, 7.007, 7.070 Å; angles 37.64, 90.00, 90.00 degrees
Fractional positions:
1 Br 0.500 0.758 0.747
2 Si 0.500 0.172 0.169
3 Si 0.000 0.062 0.067
4 Zn 0.000 0.508 0.517

Calculated values
As for the crystal system: monoclinic. The energy above the lowest structure with this stoichiometry is 123 meV per atom. Its symmetry is Pm, No. 6.

DFT (PBE-GGA) results for an optimized crystal structure of Hf3NiBi.

Cell lengths 4.815, 6.992, 7.439 Å; angles 118.03, 90.00, 90.00 degrees
Last column: magnetic moment on the atom in μB.
Fractional positions:
1 Hf 0.500 0.294 0.000  0.20
2 Hf 0.500 0.706 0.000  0.20
3 Hf 0.000 0.118 0.236  0.02
4 Hf 0.000 0.882 0.764  0.02
5 Hf 0.500 0.000 0.500  0.05
6 Hf 0.500 0.500 0.500  0.05
7 Bi 0.000 0.360 0.720  -0.01
8 Bi 0.000 0.640 0.280  -0.01
9 Ni 0.500 0.103 0.207  0.04
10 Ni 0.500 0.897 0.793  0.04

Calculated values
As for the crystal system: orthorhombic. The energy above the lowest structure with this stoichiometry is 248 meV per atom. Its symmetry is Cmmm, No. 65.

DFT (PBE-GGA) results for an optimized crystal structure of Ho2Tm5Pb5.

Cell lengths 4.894, 6.971, 11.861 Å; angles 109.84, 90.00, 110.55 degrees
Fractional positions:
1 Pb 0.135 0.269 0.472
2 Pb 0.265 0.529 0.213
3 Pb 0.865 0.731 0.528
4 Pb 0.735 0.471 0.787
5 Pb 0.000 0.000 0.000
6 Tm 0.652 0.303 0.301
7 Tm 0.348 0.696 0.991
8 Tm 0.500 0.000 0.500
9 Tm 0.652 0.304 0.009
10 Tm 0.348 0.697 0.699
11 Ho 0.079 0.158 0.760
12 Ho 0.921 0.842 0.240

Calculated values
As for the crystal system: monoclinic. Its total energy is -4.4967 eV/atom. Its symmetry is C2/m, No. 12.

Computed values of total magnetic moment (unit: μB per cell) for the preceding records, in sequence: 0.000, 0.000, 0.000, 0.000, 2.488, 0.000, 0.802, 0.000.